Entry 1:
Compound: Hf5Te6
Source: Alexandria
Functional: PBE
Structure: relaxed

a = 7.5407 Å, b = 6.9026 Å, c = 6.6572 Å
α = 81.15°, β = 73.64°, γ = 56.89°
Closest atoms and distances in Å follow each position.
Element x y z (fractional)
Te 0.6300 0.3125 0.2180  5 Hf 2.86-3.05
Te 0.3700 0.6875 0.7820  5 Hf 2.86-3.05
Te 0.2096 0.0000 0.2828  5 Hf 2.89-3.07
Te 0.0575 0.3125 0.7820  5 Hf 2.86-3.05
Te 0.9425 0.6875 0.2180  5 Hf 2.86-3.05
Te 0.7904 0.0000 0.7172  5 Hf 2.89-3.07
Hf 0.6329 0.7342 0.0000  6 Te 2.89-3.05, 1 Hf 3.07
Hf 0.2136 0.5728 0.5000  6 Te 2.86-3.07
Hf 0.5000 0.0000 0.5000  6 Te 2.94-3.03
Hf 0.3671 0.2658 0.0000  6 Te 2.89-3.05, 1 Hf 3.07
Hf 0.7864 0.4272 0.5000  6 Te 2.86-3.07

Calculated values
Theoretical density = 9.89 g/cm³
Energy relative to the elements, uncorrected = -577 kJ/mol of formula units
Total moment = 0.00 μB per cell



Entry 2:
Compound: CaPmGaPd
Source: Alexandria
Functional: PBE
Structure: relaxed

a = 5.1178 Å, b = 5.1178 Å, c = 5.1178 Å
α = 60.00°, β = 60.00°, γ = 60.00°
Closest atoms and distances in Å follow each position.
Element x y z (fractional)
Ga 0.7500 0.7500 0.7500  4 Ca 3.13, 4 Pm 3.13
Ca 0.5000 0.5000 0.5000  4 Ga 3.13, 4 Pd 3.13
Pm 0.0000 0.0000 0.0000  4 Ga 3.13, 4 Pd 3.13
Pd 0.2500 0.2500 0.2500  4 Ca 3.13, 4 Pm 3.13

Calculated values
Calculated formation energy = -0.59 eV/atom
Theoretical density = 6.33 g/cm³
Total moment = 0.00 μB per cell



Entry 3:
Compound: CrCdMo
Source: Alexandria
Functional: PBE
Structure: relaxed

a = 7.2322 Å, b = 7.0305 Å, c = 2.7737 Å
α = 82.91°, β = 74.72°, γ = 22.37°
Closest atoms and distances in Å follow each position.
Element x y z (fractional)
Cd 0.9958 0.9958 0.0042  6 Cd 2.77-3.10, 2 Cr 2.87, 2 Mo 3.02
Mo 0.6843 0.6843 0.3157  2 Cr 2.42
Cr 0.3199 0.3199 0.6801  2 Mo 2.42

Calculated values
Calculated formation energy = 0.40 eV/atom
Theoretical density = 8.84 g/cm³
Total moment = 0.00 μB per cell



Entry 4:
Compound: PuHfNb
Source: Alexandria
Functional: PBE
Structure: relaxed

a = 3.0796 Å, b = 4.8901 Å, c = 4.8901 Å
α = 120.00°, β = 90.00°, γ = 90.00°
Closest atoms and distances in Å follow each position.
Element x y z (fractional)
Nb 0.4438 0.3333 0.6667  3 Pu 2.84, 2 Nb 3.08, 3 Hf 3.13
Hf 0.0056 0.0000 0.0000  2 Hf 3.08, 6 Nb 3.13-3.31, 6 Pu 3.15-3.28
Pu 0.5507 0.6667 0.3333  3 Nb 2.84, 2 Pu 3.08, 3 Hf 3.15

Calculated values
Calculated formation energy = 0.12 eV/atom
Theoretical density = 13.42 g/cm³
Total moment = 5.12 μB per cell



Entry 5:
Compound: Li2ZnAs
Source: Alexandria
Functional: PBE
Structure: relaxed

a = 4.0374 Å, b = 3.8689 Å, c = 3.8689 Å
α = 90.00°, β = 90.00°, γ = 90.00°
Closest atoms and distances in Å follow each position.
Element x y z (fractional)
Li 0.0000 0.0000 0.0000  4 Li 2.74, 4 As 2.80, 4 Zn 2.80
Li 0.0000 0.5000 0.5000  4 Li 2.74, 4 As 2.80, 4 Zn 2.80
Zn 0.5000 0.5000 0.0000  4 As 2.74, 8 Li 2.80
As 0.5000 0.0000 0.5000  4 Zn 2.74, 8 Li 2.80

Calculated values
Calculated formation energy = -0.40 eV/atom
Theoretical density = 4.24 g/cm³
Total moment = 0.00 μB per cell



Entry 6:
Compound: DyTmCu2
Source: Alexandria
Functional: PBE
Structure: relaxed

a = 3.4371 Å, b = 3.4371 Å, c = 6.8972 Å
α = 90.00°, β = 90.00°, γ = 90.00°
Closest atoms and distances in Å follow each position.
Element x y z (fractional)
Cu 0.0000 0.0000 0.7588  4 Tm 2.95, 4 Dy 3.02
Cu 0.0000 0.0000 0.2412  4 Tm 2.95, 4 Dy 3.02
Dy 0.5000 0.5000 0.5000  8 Cu 3.02
Tm 0.5000 0.5000 0.0000  8 Cu 2.95

Calculated values
Calculated formation energy = -0.27 eV/atom
Theoretical density = 9.34 g/cm³
Total moment = 0.00 μB per cell



Entry 7:
Compound: LaPr
Source: Alexandria
Functional: PBE
Structure: relaxed

a = 3.7217 Å, b = 7.3931 Å, c = 5.3022 Å
α = 90.00°, β = 90.00°, γ = 90.00°
Closest atoms and distances in Å follow each position.
Element x y z (fractional)
Pr 0.7497 0.8751 0.7500  6 La 3.69-3.73, 6 Pr 3.72-3.73
Pr 0.2503 0.1249 0.2500  6 La 3.69-3.73, 6 Pr 3.72-3.73
La 0.7503 0.3756 0.7500  6 Pr 3.69-3.73, 6 La 3.72-3.73
La 0.2497 0.6244 0.2500  6 Pr 3.69-3.73, 6 La 3.72-3.73

Calculated values
Calculated formation energy = 0.01 eV/atom
Theoretical density = 6.37 g/cm³
Total moment = 0.00 μB per cell



Entry 8:
Compound: Ca2Tl2I
Source: Alexandria
Functional: PBE
Structure: relaxed

a = 9.1750 Å, b = 9.1750 Å, c = 3.9415 Å
α = 90.00°, β = 90.00°, γ = 90.00°
Closest atoms and distances in Å follow each position.
Element x y z (fractional)
Tl 0.6202 0.1202 0.0000  1 Tl 3.12, 6 Ca 3.25-3.44
Tl 0.8798 0.6202 0.0000  1 Tl 3.12, 6 Ca 3.25-3.44
Tl 0.3798 0.8798 0.0000  1 Tl 3.12, 6 Ca 3.25-3.44
Tl 0.1202 0.3798 0.0000  1 Tl 3.12, 6 Ca 3.25-3.44
Ca 0.3194 0.1806 0.5000  6 Tl 3.25-3.44
Ca 0.6806 0.8194 0.5000  6 Tl 3.25-3.44
Ca 0.1806 0.6806 0.5000  6 Tl 3.25-3.44
Ca 0.8194 0.3194 0.5000  6 Tl 3.25-3.44
I 0.0000 0.0000 0.0000  4 Tl 3.65, 8 Ca 3.90, 2 I 3.94
I 0.5000 0.5000 0.0000  4 Tl 3.65, 8 Ca 3.90, 2 I 3.94

Calculated values
Theoretical density = 6.16 g/cm³
Energy relative to the elements, uncorrected = -210 kJ/mol of formula units
Total moment = 0.00 μB per cell



Entry 9:
Compound: Pu3Ga3Rh2
Source: Alexandria
Functional: PBE
Structure: relaxed

a = 5.5155 Å, b = 7.9649 Å, c = 14.9941 Å
α = 90.00°, β = 90.00°, γ = 90.00°
Closest atoms and distances in Å follow each position.
Element x y z (fractional)
Ga 0.9080 0.8224 0.0342  3 Rh 2.56-2.59
Ga 0.8667 0.8220 0.7500  2 Rh 2.58
Ga 0.9080 0.8224 0.4658  3 Rh 2.56-2.59
Ga 0.4080 0.6776 0.5342  3 Rh 2.56-2.59
Ga 0.5920 0.3224 0.0342  3 Rh 2.56-2.59
Ga 0.5920 0.3224 0.4658  3 Rh 2.56-2.59
Ga 0.0920 0.1776 0.9658  3 Rh 2.56-2.59
Ga 0.0920 0.1776 0.5342  3 Rh 2.56-2.59
Ga 0.1333 0.1780 0.2500  2 Rh 2.58
Ga 0.6333 0.3220 0.7500  2 Rh 2.58
Ga 0.3667 0.6780 0.2500  2 Rh 2.58
Ga 0.4080 0.6776 0.9658  3 Rh 2.56-2.59
Pu 0.6267 0.3358 0.2500  4 Rh 3.00-3.03, 5 Ga 3.00-3.24
Pu 0.3947 0.9647 0.3926  3 Rh 2.85-3.14, 4 Ga 3.09-3.13
Pu 0.1053 0.4647 0.1074  3 Rh 2.85-3.14, 4 Ga 3.09-3.13
Pu 0.8733 0.8358 0.2500  4 Rh 3.00-3.03, 5 Ga 3.00-3.24
Pu 0.1053 0.4647 0.3926  3 Rh 2.85-3.14, 4 Ga 3.09-3.13
Pu 0.6053 0.0353 0.8926  3 Rh 2.85-3.14, 4 Ga 3.09-3.13
Pu 0.3947 0.9647 0.1074  3 Rh 2.85-3.14, 4 Ga 3.09-3.13
Pu 0.8947 0.5353 0.6074  3 Rh 2.85-3.14, 4 Ga 3.09-3.13
Pu 0.8947 0.5353 0.8926  3 Rh 2.85-3.14, 4 Ga 3.09-3.13
Pu 0.6053 0.0353 0.6074  3 Rh 2.85-3.14, 4 Ga 3.09-3.13
Pu 0.1267 0.1642 0.7500  4 Rh 3.00-3.03, 5 Ga 3.00-3.24
Pu 0.3733 0.6642 0.7500  4 Rh 3.00-3.03, 5 Ga 3.00-3.24
Rh 0.6339 0.6098 0.1131  4 Ga 2.56-2.59, 1 Pu 2.85
Rh 0.1339 0.8902 0.8869  4 Ga 2.56-2.59, 1 Pu 2.85
Rh 0.6339 0.6098 0.3869  4 Ga 2.56-2.59, 1 Pu 2.85
Rh 0.1339 0.8902 0.6131  4 Ga 2.56-2.59, 1 Pu 2.85
Rh 0.8661 0.1098 0.1131  4 Ga 2.56-2.59, 1 Pu 2.85
Rh 0.8661 0.1098 0.3869  4 Ga 2.56-2.59, 1 Pu 2.85
Rh 0.3661 0.3902 0.8869  4 Ga 2.56-2.59, 1 Pu 2.85
Rh 0.3661 0.3902 0.6131  4 Ga 2.56-2.59, 1 Pu 2.85

Calculated values
Calculated formation energy = -0.48 eV/atom
Theoretical density = 11.57 g/cm³
Total moment = 65.33 μB per cell



Entry 10:
Compound: La4Nd2Al
Source: Alexandria
Functional: PBE
Structure: relaxed

a = 3.7314 Å, b = 3.7314 Å, c = 20.2852 Å
α = 84.72°, β = 84.72°, γ = 60.00°
Closest atoms and distances in Å follow each position.
Element x y z (fractional)
Nd 0.1914 0.1914 0.4258  9 Nd 3.69-3.73, 3 La 3.70
Nd 0.8086 0.8086 0.5742  9 Nd 3.69-3.73, 3 La 3.70
Al 0.0000 0.0000 0.0000  6 La 3.18
La 0.2946 0.2946 0.1161  3 Al 3.18
La 0.9077 0.9077 0.2768  3 Nd 3.70, 9 La 3.73-3.89
La 0.0923 0.0923 0.7232  3 Nd 3.70, 9 La 3.73-3.89
La 0.7054 0.7054 0.8839  3 Al 3.18

Calculated values
Calculated formation energy = -0.01 eV/atom
Theoretical density = 5.95 g/cm³
Total moment = 0.00 μB per cell



Entry 11:
Compound: NiP
Source: Alexandria
Functional: PBE
Structure: relaxed

a = 10.4674 Å, b = 3.9234 Å, c = 4.1593 Å
α = 90.00°, β = 90.00°, γ = 90.00°
Closest atoms and distances in Å follow each position.
Element x y z (fractional)
P 0.6861 0.6439 0.2865  5 Ni 2.18-2.36
P 0.0000 0.8964 0.3228  4 Ni 2.17-2.25
P 0.5000 0.1036 0.8228  4 Ni 2.17-2.25
P 0.1861 0.3561 0.7865  5 Ni 2.18-2.36
P 0.3139 0.6439 0.2865  5 Ni 2.18-2.36
P 0.8139 0.3561 0.7865  5 Ni 2.18-2.36
Ni 0.3050 0.8680 0.7776  5 P 2.23-2.36
Ni 0.5000 0.6075 0.0511  4 P 2.17-2.19
Ni 0.6950 0.8680 0.7776  5 P 2.23-2.36
Ni 0.1950 0.1320 0.2776  5 P 2.23-2.36
Ni 0.0000 0.3925 0.5511  4 P 2.17-2.19
Ni 0.8050 0.1320 0.2776  5 P 2.23-2.36

Calculated values
Calculated formation energy = -0.26 eV/atom
Theoretical density = 5.23 g/cm³
Total moment = 0.00 μB per cell



Entry 12:
Compound: PmDyHo2S4
Source: Alexandria
Functional: PBE
Structure: relaxed

a = 3.8856 Å, b = 6.8383 Å, c = 6.8185 Å
α = 71.05°, β = 90.00°, γ = 90.00°
Closest atoms and distances in Å follow each position.
Element x y z (fractional)
S 0.0000 0.2398 0.2588  3 Ho 2.72-2.77, 1 Dy 2.79, 2 Pm 2.83
S 0.0000 0.7602 0.7412  3 Ho 2.72-2.77, 1 Dy 2.79, 2 Pm 2.83
S 0.5000 0.7561 0.2531  3 Ho 2.73-2.77, 2 Dy 2.79, 1 Pm 2.83
S 0.5000 0.2439 0.7469  3 Ho 2.73-2.77, 2 Dy 2.79, 1 Pm 2.83
Ho 0.0000 0.0000 0.0000  6 S 2.77
Ho 0.5000 0.0000 0.5000  6 S 2.72-2.73
Pm 0.5000 0.5000 0.0000  6 S 2.83
Dy 0.0000 0.5000 0.5000  6 S 2.79

Calculated values
Theoretical density = 7.42 g/cm³
Energy relative to the elements, uncorrected = -1536 kJ/mol of formula units
Total moment = 0.00 μB per cell



Entry 13:
Compound: Sc2HAu
Source: Alexandria
Functional: PBE
Structure: relaxed

a = 6.2385 Å, b = 6.2385 Å, c = 5.5988 Å
α = 56.14°, β = 56.14°, γ = 90.00°
Closest atoms and distances in Å follow each position.
Element x y z (fractional)
H 0.2500 0.7500 0.5000  4 Sc 2.04
H 0.5000 0.5000 0.0000  4 Sc 2.04
Sc 0.5354 0.1250 0.2500  2 H 2.04
Sc 0.2146 0.6250 0.2500  2 H 2.04
Sc 0.8750 0.7854 0.7500  2 H 2.04
Sc 0.3750 0.4646 0.7500  2 H 2.04
Au 0.7500 0.2500 0.5000  4 Sc 2.77
Au 0.0000 0.0000 0.0000  4 Sc 2.77

Calculated values
Theoretical density = 7.13 g/cm³
Total moment = 0.00 μB per cell



Entry 14:
Compound: HfCd3Rh
Source: Alexandria
Functional: PBE
Structure: relaxed

a = 5.0091 Å, b = 5.0091 Å, c = 5.0091 Å
α = 90.00°, β = 90.00°, γ = 90.00°
Closest atoms and distances in Å follow each position.
Element x y z (fractional)
Hf 0.5000 0.5000 0.5000  12 Cd 3.54
Cd 0.5000 0.0000 0.0000  2 Rh 2.50
Cd 0.0000 0.0000 0.5000  2 Rh 2.50
Cd 0.0000 0.5000 0.0000  2 Rh 2.50
Rh 0.0000 0.0000 0.0000  6 Cd 2.50

Calculated values
Calculated formation energy = 0.68 eV/atom
Theoretical density = 8.17 g/cm³
Total moment = 0.00 μB per cell



Entry 15:
Compound: Nd6Ho2Tl
Source: Alexandria
Functional: PBE
Structure: relaxed

a = 6.4386 Å, b = 11.4433 Å, c = 11.4433 Å
α = 47.65°, β = 106.36°, γ = 106.36°
Closest atoms and distances in Å follow each position.
Element x y z (fractional)
Nd 0.9430 0.1522 0.0075  2 Tl 3.38-3.45, 6 Nd 3.47-3.60, 1 Ho 3.62
Nd 0.4430 0.0075 0.1522  2 Tl 3.38-3.45, 6 Nd 3.47-3.60, 1 Ho 3.62
Nd 0.0809 0.0808 0.5811  5 Nd 3.23-3.55, 1 Tl 3.37, 4 Ho 3.47-3.52
Nd 0.7840 0.3483 0.4922  2 Tl 3.38-3.46, 6 Nd 3.47-3.60, 1 Ho 3.62
Nd 0.2840 0.4922 0.3483  2 Tl 3.38-3.46, 6 Nd 3.47-3.60, 1 Ho 3.62
Nd 0.9191 0.9192 0.4189  5 Nd 3.23-3.55, 1 Tl 3.37, 4 Ho 3.47-3.52
Nd 0.7160 0.5078 0.6517  2 Tl 3.38-3.46, 6 Nd 3.47-3.60, 1 Ho 3.62
Nd 0.0570 0.8478 0.9925  2 Tl 3.38-3.45, 6 Nd 3.47-3.60, 1 Ho 3.62
Nd 0.4191 0.4189 0.9192  5 Nd 3.23-3.55, 1 Tl 3.37, 4 Ho 3.47-3.52
Nd 0.5570 0.9925 0.8478  2 Tl 3.38-3.45, 6 Nd 3.47-3.60, 1 Ho 3.62
Nd 0.2160 0.6517 0.5078  2 Tl 3.38-3.46, 6 Nd 3.47-3.60, 1 Ho 3.62
Nd 0.5809 0.5811 0.0808  5 Nd 3.23-3.55, 1 Tl 3.37, 4 Ho 3.47-3.52
Tl 0.7500 0.7504 0.2496  10 Nd 3.37-3.46
Tl 0.2500 0.2496 0.7504  10 Nd 3.37-3.46
Ho 0.0828 0.6729 0.8269  3 Ho 3.37-3.52, 6 Nd 3.47-3.62
Ho 0.9172 0.3271 0.1731  3 Ho 3.37-3.52, 6 Nd 3.47-3.62
Ho 0.4172 0.1731 0.3271  3 Ho 3.37-3.52, 6 Nd 3.47-3.62
Ho 0.5828 0.8269 0.6729  3 Ho 3.37-3.52, 6 Nd 3.47-3.62

Calculated values
Calculated formation energy = -0.01 eV/atom
Theoretical density = 7.84 g/cm³
Total moment = 0.00 μB per cell



Entry 16:
Compound: AlTcTe2
Source: Alexandria
Functional: PBE
Structure: relaxed

a = 4.6979 Å, b = 4.3064 Å, c = 4.7481 Å
α = 71.23°, β = 90.00°, γ = 90.00°
Closest atoms and distances in Å follow each position.
Element x y z (fractional)
Te 0.0000 0.9227 0.9152  3 Al 2.74-2.85, 2 Tc 2.83
Te 0.5000 0.3111 0.3428  3 Tc 2.72-2.86, 2 Al 2.86
Al 0.0000 0.5803 0.5184  2 Tc 2.64, 5 Te 2.74-2.86
Tc 0.5000 0.6859 0.7237  2 Al 2.64, 5 Te 2.72-2.86

Calculated values
Theoretical density = 6.94 g/cm³
Energy relative to the elements, uncorrected = 47 kJ/mol of formula units
Total moment = 0.91 μB per cell



Entry 17:
Compound: Ca2ZrIn2
Source: Alexandria
Functional: PBE
Structure: relaxed

a = 8.3991 Å, b = 8.3991 Å, c = 4.0078 Å
α = 90.00°, β = 90.00°, γ = 90.00°
Closest atoms and distances in Å follow each position.
Element x y z (fractional)
In 0.6342 0.1342 0.0000  6 Ca 3.08-3.25, 1 In 3.19, 2 Zr 3.27
In 0.8658 0.6342 0.0000  6 Ca 3.08-3.25, 1 In 3.19, 2 Zr 3.27
In 0.3658 0.8658 0.0000  6 Ca 3.08-3.25, 1 In 3.19, 2 Zr 3.27
In 0.1342 0.3658 0.0000  6 Ca 3.08-3.25, 1 In 3.19, 2 Zr 3.27
Ca 0.1686 0.6686 0.5000  6 In 3.08-3.25
Ca 0.8314 0.3314 0.5000  6 In 3.08-3.25
Ca 0.3314 0.1686 0.5000  6 In 3.08-3.25
Ca 0.6686 0.8314 0.5000  6 In 3.08-3.25
Zr 0.5000 0.5000 0.0000  4 In 3.27
Zr 0.0000 0.0000 0.0000  4 In 3.27

Calculated values
Calculated formation energy = -0.09 eV/atom
Theoretical density = 4.71 g/cm³
Total moment = 1.22 μB per cell



no.,uncorrected energy (eV/cell)
1,-74.6
2,-17.3
3,-20.2
4,-34.0
5,-11.3
6,-18.4
7,-19.4
8,-24.9
9,-282.4
10,-33.0
11,-70.3
12,-50.9
13,-42.7
14,-16.7
15,-80.5
16,-19.9
17,-37.0